# 1
Density functional theory data (PBE) for a relaxed Dy2TmPd crystal.

It has space group R-3m (No. 166, hexagonal axes), with a = 3.4014 Å, b = 3.4014 Å, c = 32.7556 Å, α = 90.00°, β = 90.00° and γ = 120.00°. The inequivalent atoms are Dy at (0.0000, 0.0000, 0.0798), Tm at (0.0000, 0.0000, 0.5000) and Pd at (0.0000, 0.0000, 0.0000).

The value obtained for the formation energy from the elements is 0.043 eV per atom. The offset from the most stable computed form is 522 meV per atom.

---

# 2
Density functional theory data (PBE) for a relaxed AlCdGa2Pd crystal.

It has space group P4/mmm (No. 123), with a = 4.977 Å, b = 4.977 Å, c = 5.144 Å, α = 90.00°, β = 90.00° and γ = 90.00°. The inequivalent atoms are Al at (0.000, 0.000, 0.000), Cd at (0.500, 0.500, 0.500), Ga at (0.000, 0.500, 0.500) and Pd at (0.500, 0.500, 0.000).

The value obtained for the formation energy from the elements is 0.646 eV per atom.